# 1
Here is NbB2S2 after structural relaxation from the Alexandria database. Energies are from GGA-PBE.

For the distance to the lowest polymorph of the same formula, the calculation gives 0.0000 eV per atom. The uncorrected formation energy comes out at 9 meV per atom. For the total energy, the calculation gives -6.3273 eV per atom.

It has space group P4/mbm (No. 127), with a = 6.448 Å, b = 6.448 Å, c = 2.986 Å, α = 90.00°, β = 90.00° and γ = 90.00°. Symmetry generates all atoms from Nb at (0.000, 0.000, 0.000), B at (0.091, 0.409, 0.000) and S at (0.215, 0.285, 0.500).

***

# 2
Here is NbBS3 after structural relaxation from the Alexandria database. Energies are from GGA-PBE.

For the distance to the lowest polymorph of the same formula, the calculation gives 0.0000 eV per atom. The uncorrected formation energy comes out at -521 meV per atom. For the total energy, the calculation gives -6.3468 eV per atom.

It has space group Cmc2_1 (No. 36), with a = 3.136 Å, b = 19.404 Å, c = 6.719 Å, α = 90.00°, β = 90.00° and γ = 90.00°. Symmetry generates all atoms from Nb at (0.000, 0.165, 0.000), B at (0.000, 0.350, 0.208), S at (0.000, 0.097, 0.671), S at (0.000, 0.259, 0.271) and S at (0.000, 0.401, 0.689).

***

# 3
Here is NbBS2 after structural relaxation from the Alexandria database. Energies are from GGA-PBE.

The uncorrected formation energy comes out at -28 meV per atom. For the total energy, the calculation gives -6.2786 eV per atom.

It has space group I-42d (No. 122), with a = 5.346 Å, b = 5.346 Å, c = 8.475 Å, α = 90.00°, β = 90.00° and γ = 90.00°. Symmetry generates all atoms from Nb at (0.000, 0.000, 0.000), B at (0.000, 0.000, 0.500) and S at (0.170, 0.250, 0.625).

***

# 4
Here is Nb5B2S2 after structural relaxation from the Alexandria database. Energies are from GGA-PBE.

The uncorrected formation energy comes out at -708 meV per atom. For the total energy, the calculation gives -8.7033 eV per atom.

It has space group Cmce (No. 64), with a = 13.022 Å, b = 6.264 Å, c = 6.249 Å, α = 90.00°, β = 90.00° and γ = 90.00°. Symmetry generates all atoms from Nb at (0.000, 0.000, 0.000), Nb at (0.124, 0.172, 0.327), B at (0.000, 0.108, 0.608) and S at (0.210, 0.000, 0.000).

***

What is the total energy in the second record? -6.3468 eV per atom

***

Which of these has the lowest total energy? Nb5B2S2

***

Number 1 is which compound? NbB2S2